No. 1
The following is a PBE calculation of a relaxed structure of Ba2NaZn3Cd12, from Alexandria.

Output
total energy: -54.58 eV for the cell shown

Cell lengths 9.9703, 9.9703, 19.3827 Å; angles 90.00, 90.00, 120.00 degrees
Space group R-3m (No. 166, hexagonal axes)
Symmetry-distinct sites (fractional):
1 Ba 0.0000 0.0000 0.1017
2 Na 0.0000 0.0000 0.5000
3 Zn 0.0000 0.5000 0.0000
4 Cd 0.0041 0.5021 0.8629
5 Cd 0.0427 0.5213 0.3047

---

No. 2
The following is a PBE calculation of a relaxed structure of Ba3NbCd, from Alexandria.

Output
total energy: -13.51 eV for the cell shown
energy above the most stable polymorph in this dataset: 0.0 meV per atom

Cell lengths 6.113, 6.113, 6.113 Å; angles 90.00, 90.00, 90.00 degrees
Space group Pm-3m (No. 221)
Symmetry-distinct sites (fractional):
1 Ba 0.000 0.000 0.500
2 Nb 0.000 0.000 0.000
3 Cd 0.500 0.500 0.500

---

No. 3
The following is a PBE calculation of a relaxed structure of BaNbCd3, from Alexandria.

Output
total energy: -12.93 eV for the cell shown
energy above the most stable polymorph in this dataset: 0.0 meV per atom

Cell lengths 5.525, 5.525, 5.525 Å; angles 90.00, 90.00, 90.00 degrees
Space group Pm-3m (No. 221)
Symmetry-distinct sites (fractional):
1 Ba 0.000 0.000 0.000
2 Nb 0.500 0.500 0.500
3 Cd 0.000 0.500 0.500

---

No. 4
The following is a PBE calculation of a relaxed structure of BaNbCd2, from Alexandria.

Output
total energy: -44.88 eV for the cell shown
energy above the most stable polymorph in this dataset: 174.9 meV per atom

Cell lengths 5.301, 5.301, 20.530 Å; angles 90.00, 90.00, 90.00 degrees
Space group I-42d (No. 122)
Symmetry-distinct sites (fractional):
1 Ba 0.000 0.000 0.000
2 Nb 0.000 0.000 0.500
3 Cd 0.083 0.250 0.625

---

No. 5
The following is a PBE calculation of a relaxed structure of BaNb3Cd, from Alexandria.

Output
total energy: -21.36 eV for the cell shown
energy above the most stable polymorph in this dataset: 603.2 meV per atom

Cell lengths 5.079, 5.079, 5.079 Å; angles 90.00, 90.00, 90.00 degrees
Space group Pm-3m (No. 221)
Symmetry-distinct sites (fractional):
1 Ba 0.000 0.000 0.000
2 Nb 0.000 0.000 0.500
3 Cd 0.500 0.500 0.500

---

No. 6
The following is a PBE calculation of a relaxed structure of BaNbCd2, from Alexandria.

Output
total energy: -47.68 eV for the cell shown
energy above the most stable polymorph in this dataset: 0.0 meV per atom

Cell lengths 7.672, 7.672, 7.672 Å; angles 90.00, 90.00, 90.00 degrees
Space group Fm-3m (No. 225)
Symmetry-distinct sites (fractional):
1 Ba 0.000 0.000 0.000
2 Nb 0.000 0.000 0.500
3 Cd 0.250 0.250 0.250

---

No. 7
The following is a PBE calculation of a relaxed structure of BaNbCd3, from Alexandria.

Output
total energy: -5.94 eV for the cell shown
energy above the most stable polymorph in this dataset: 1397.4 meV per atom

Cell lengths 6.017, 6.017, 6.017 Å; angles 90.00, 90.00, 90.00 degrees
Space group Pm-3m (No. 221)
Symmetry-distinct sites (fractional):
1 Ba 0.000 0.000 0.000
2 Nb 0.500 0.500 0.500
3 Cd 0.000 0.000 0.500

---

No. 8
The following is a PBE calculation of a relaxed structure of BaNb3Cd, from Alexandria.

Output
total energy: -24.38 eV for the cell shown
energy above the most stable polymorph in this dataset: 0.0 meV per atom

Cell lengths 5.258, 5.258, 5.258 Å; angles 90.00, 90.00, 90.00 degrees
Space group Pm-3m (No. 221)
Symmetry-distinct sites (fractional):
1 Ba 0.000 0.000 0.000
2 Nb 0.000 0.500 0.500
3 Cd 0.500 0.500 0.500

---

No. 9
The following is a PBE calculation of a relaxed structure of Ba4Nb3CdO12, from Alexandria.

Output
total energy: -301.26 eV for the cell shown
formation energy from raw total energies: -2.62 eV per atom

Cell lengths 8.429, 8.429, 8.429 Å; angles 90.00, 90.00, 90.00 degrees
Space group Im-3m (No. 229)
Symmetry-distinct sites (fractional):
1 Ba 0.250 0.250 0.250
2 Nb 0.000 0.000 0.500
3 Cd 0.000 0.000 0.000
4 O 0.000 0.000 0.268
5 O 0.000 0.250 0.500

---

No. 10
The following is a PBE calculation of a relaxed structure of Ba3NbCd2O8, from Alexandria.

Output
total energy: -85.44 eV for the cell shown
formation energy from raw total energies: -2.01 eV per atom

Cell lengths 6.0065, 6.0065, 7.9597 Å; angles 90.00, 90.00, 120.00 degrees
Space group P-3m1 (No. 164)
Symmetry-distinct sites (fractional):
1 Ba 0.0000 0.0000 0.0000
2 Ba 0.3333 0.6667 0.6274
3 Nb 0.0000 0.0000 0.5000
4 Cd 0.3333 0.6667 0.1967
5 O 0.1559 0.3119 0.3498
6 O 0.3333 0.6667 0.9388

---

No. 11
The following is a PBE calculation of a relaxed structure of Ba2NbCdPb, from Alexandria.

Output
total energy: -14.26 eV for the cell shown

Cell lengths 6.723, 6.723, 5.417 Å; angles 90.00, 90.00, 90.00 degrees
Space group P4/mmm (No. 123)
Symmetry-distinct sites (fractional):
1 Ba 0.000 0.500 0.000
2 Nb 0.000 0.000 0.500
3 Cd 0.500 0.500 0.500
4 Pb 0.500 0.500 0.000

---

No. 12
The following is a PBE calculation of a relaxed structure of Ba2NbCdPt, from Alexandria.

Output
total energy: -18.98 eV for the cell shown

Cell lengths 6.136, 6.136, 4.885 Å; angles 90.00, 90.00, 90.00 degrees
Space group P4/mmm (No. 123)
Symmetry-distinct sites (fractional):
1 Ba 0.000 0.500 0.000
2 Nb 0.000 0.000 0.000
3 Cd 0.500 0.500 0.500
4 Pt 0.000 0.000 0.500

---

No. 13
The following is a PBE calculation of a relaxed structure of BaNbCdRe2, from Alexandria.

Output
total energy: -21.70 eV for the cell shown

Cell lengths 5.051, 5.051, 5.092 Å; angles 90.00, 90.00, 90.00 degrees
Space group P4/mmm (No. 123)
Symmetry-distinct sites (fractional):
1 Ba 0.000 0.000 0.000
2 Nb 0.000 0.000 0.500
3 Cd 0.500 0.500 0.500
4 Re 0.000 0.500 0.000

---

Magnetic moment values (in μB per formula unit) by entry order: 0.0; 0.0; 2.8; 3.4; 0.0; 2.7; 0.4; 4.0; 0.9; 1.1; 4.6; 0.0; 1.5.